This record from Alexandria describes a geometry-optimized LiMnNbO4 structure. The functional is PBE+U.

Crystal system = tetragonal
Volume = 12.18 Å³ per atom
Energy relative to the lowest polymorph listed for this composition = 0.000 eV/atom

Structure (CIF):
```
data_LiMnNbO4
_cell_length_a 6.287
_cell_length_b 6.287
_cell_length_c 8.627
_cell_angle_alpha 90.00
_cell_angle_beta 90.00
_cell_angle_gamma 90.00
_symmetry_space_group_name_H-M 'P 43 2 2'
_symmetry_Int_Tables_number 95
_symmetry_space_group_name_Hall 'P 4cw 2c'
loop_
_atom_site_label
_atom_site_type_symbol
_atom_site_fract_x
_atom_site_fract_y
_atom_site_fract_z
Li1 Li 0.000 0.224 0.000
Mn1 Mn 0.255 0.255 0.625
Nb1 Nb 0.220 0.500 0.250
O1 O 0.029 0.265 0.253
O2 O 0.269 0.483 0.019
```